Compound: Mn2AsO
Source: Alexandria
Functional: GGA+U
Structure: optimized geometry

Total magnetic moment, μB per formula unit: 9.00
Electronic total energy, eV/atom: -6.842
DOS at the Fermi energy, states/eV per cell: 3.02
Polymorph energy (0 for the lowest one), meV per atom: 0

abc: 6.017 6.017 7.743
angles: 90.00 90.00 90.00
Space group I-42d (No. 122)
Asymmetric unit:
Mn: 0.177 0.250 0.125
As: 0.000 0.000 0.500
O: 0.000 0.000 0.000